[1]
Computed, not measured: a relaxed Y2Tc2Ge crystal at the PBE level of DFT.

```
data_Y2Tc2Ge
_chemical_formula_sum 'Y4 Tc4 Ge2'
_symmetry_space_group_name_H-M 'I 4/m m m'
_symmetry_Int_Tables_number 139
_symmetry_space_group_name_Hall '-I 4 2'
_cell_length_a 4.588
_cell_length_b 4.588
_cell_length_c 11.370
_cell_angle_alpha 90.00
_cell_angle_beta 90.00
_cell_angle_gamma 90.00
loop_
_atom_site_label
_atom_site_type_symbol
_atom_site_fract_x
_atom_site_fract_y
_atom_site_fract_z
Y1 Y 0.000 0.500 0.250
Tc1 Tc 0.000 0.000 0.098
Ge1 Ge 0.000 0.000 0.500
```

Computed properties:
Formation energy from the elements, eV per atom: 0.827



[2]
Computed, not measured: a relaxed MgReRu2 crystal at the PBE level of DFT.

```
data_MgReRu2
_chemical_formula_sum 'Mg2 Re2 Ru4'
_symmetry_space_group_name_H-M 'I -4 m 2'
_symmetry_Int_Tables_number 119
_symmetry_space_group_name_Hall 'I -4 -2'
_cell_length_a 3.732
_cell_length_b 3.732
_cell_length_c 8.450
_cell_angle_alpha 90.00
_cell_angle_beta 90.00
_cell_angle_gamma 90.00
loop_
_atom_site_label
_atom_site_type_symbol
_atom_site_fract_x
_atom_site_fract_y
_atom_site_fract_z
Mg1 Mg 0.000 0.000 0.000
Re1 Re 0.000 0.500 0.750
Ru1 Ru 0.000 0.000 0.500
Ru2 Ru 0.000 0.500 0.250
```

Computed properties:
Formation energy from the elements, eV per atom: 0.232



[3]
Computed, not measured: a relaxed PmNdZn6 crystal at the PBE level of DFT.

```
data_PmNdZn6
_chemical_formula_sum 'Pm2 Nd2 Zn12'
_symmetry_space_group_name_H-M 'A m m 2'
_symmetry_Int_Tables_number 38
_symmetry_space_group_name_Hall 'A 2 -2'
_cell_length_a 4.424
_cell_length_b 6.620
_cell_length_c 10.978
_cell_angle_alpha 90.00
_cell_angle_beta 90.00
_cell_angle_gamma 90.00
loop_
_atom_site_label
_atom_site_type_symbol
_atom_site_fract_x
_atom_site_fract_y
_atom_site_fract_z
Pm1 Pm 0.000 0.000 0.000
Nd1 Nd 0.500 0.000 0.314
Zn1 Zn 0.000 0.000 0.508
Zn2 Zn 0.000 0.206 0.734
Zn3 Zn 0.500 0.000 0.808
Zn4 Zn 0.500 0.207 0.580
```

Computed properties:
Formation energy from the elements, eV per atom: -0.306



[4]
Computed, not measured: a relaxed LuPaOs crystal at the PBE level of DFT.

```
data_LuPaOs
_chemical_formula_sum 'Lu4 Pa4 Os4'
_symmetry_space_group_name_H-M 'F -4 3 m'
_symmetry_Int_Tables_number 216
_symmetry_space_group_name_Hall 'F -4 2 3'
_cell_length_a 6.700
_cell_length_b 6.700
_cell_length_c 6.700
_cell_angle_alpha 90.00
_cell_angle_beta 90.00
_cell_angle_gamma 90.00
loop_
_atom_site_label
_atom_site_type_symbol
_atom_site_fract_x
_atom_site_fract_y
_atom_site_fract_z
Lu1 Lu 0.000 0.000 0.000
Pa1 Pa 0.000 0.000 0.500
Os1 Os 0.250 0.250 0.250
```

Computed properties:
Formation energy from the elements, eV per atom: -0.097



[5]
Computed, not measured: a relaxed LaZrFeOs2 crystal at the PBE level of DFT.

```
data_LaZrFeOs2
_chemical_formula_sum 'La1 Zr1 Fe1 Os2'
_symmetry_space_group_name_H-M 'P 4/m m m'
_symmetry_Int_Tables_number 123
_symmetry_space_group_name_Hall '-P 4 2'
_cell_length_a 4.963
_cell_length_b 4.963
_cell_length_c 4.651
_cell_angle_alpha 90.00
_cell_angle_beta 90.00
_cell_angle_gamma 90.00
loop_
_atom_site_label
_atom_site_type_symbol
_atom_site_fract_x
_atom_site_fract_y
_atom_site_fract_z
La1 La 0.000 0.000 0.000
Zr1 Zr 0.500 0.500 0.500
Fe1 Fe 0.500 0.500 0.000
Os1 Os 0.000 0.500 0.500
```

Computed properties:
Formation energy from the elements, eV per atom: 1.082



[6]
Computed, not measured: a relaxed PIrAu crystal at the PBE level of DFT.

```
data_PIrAu
_chemical_formula_sum 'P2 Ir2 Au2'
_symmetry_space_group_name_H-M 'C 1 m 1'
_symmetry_Int_Tables_number 8
_symmetry_space_group_name_Hall 'C -2y'
_cell_length_a 6.080
_cell_length_b 3.542
_cell_length_c 5.650
_cell_angle_alpha 90.00
_cell_angle_beta 110.60
_cell_angle_gamma 90.00
loop_
_atom_site_label
_atom_site_type_symbol
_atom_site_fract_x
_atom_site_fract_y
_atom_site_fract_z
P1 P 0.000 0.000 0.000
Ir1 Ir 0.105 0.500 0.817
Au1 Au 0.149 0.000 0.451
```

Computed properties:
Formation energy from the elements, eV per atom: -0.154



[7]
Computed, not measured: a relaxed DyHo2Ni crystal at the PBE level of DFT.

```
data_DyHo2Ni
_chemical_formula_sum 'Dy4 Ho8 Ni4'
_symmetry_space_group_name_H-M 'P n m a'
_symmetry_Int_Tables_number 62
_symmetry_space_group_name_Hall '-P 2ac 2n'
_cell_length_a 6.821
_cell_length_b 9.529
_cell_length_c 6.298
_cell_angle_alpha 90.00
_cell_angle_beta 90.00
_cell_angle_gamma 90.00
loop_
_atom_site_label
_atom_site_type_symbol
_atom_site_fract_x
_atom_site_fract_y
_atom_site_fract_z
Dy1 Dy 0.033 0.250 0.139
Ho1 Ho 0.178 0.066 0.678
Ni1 Ni 0.110 0.750 0.445
```

Computed properties:
Formation energy from the elements, eV per atom: -0.255



[8]
Computed, not measured: a relaxed La3SnBi crystal at the PBE level of DFT.

```
data_La3SnBi
_chemical_formula_sum 'La3 Sn1 Bi1'
_symmetry_space_group_name_H-M 'P m -3 m'
_symmetry_Int_Tables_number 221
_symmetry_space_group_name_Hall '-P 4 2 3'
_cell_length_a 5.982
_cell_length_b 5.982
_cell_length_c 5.982
_cell_angle_alpha 90.00
_cell_angle_beta 90.00
_cell_angle_gamma 90.00
loop_
_atom_site_label
_atom_site_type_symbol
_atom_site_fract_x
_atom_site_fract_y
_atom_site_fract_z
La1 La 0.000 0.000 0.500
Sn1 Sn 0.000 0.000 0.000
Bi1 Bi 0.500 0.500 0.500
```

Computed properties:
Formation energy from the elements, eV per atom: -0.184



[9]
Computed, not measured: a relaxed LiAlOs crystal at the PBE level of DFT.

```
data_LiAlOs
_chemical_formula_sum 'Li4 Al4 Os4'
_symmetry_space_group_name_H-M 'F m m 2'
_symmetry_Int_Tables_number 42
_symmetry_space_group_name_Hall 'F 2 -2'
_cell_length_a 2.980
_cell_length_b 4.489
_cell_length_c 13.153
_cell_angle_alpha 90.00
_cell_angle_beta 90.00
_cell_angle_gamma 90.00
loop_
_atom_site_label
_atom_site_type_symbol
_atom_site_fract_x
_atom_site_fract_y
_atom_site_fract_z
Li1 Li 0.000 0.000 0.000
Al1 Al 0.000 0.000 0.322
Os1 Os 0.000 0.000 0.666
```

Computed properties:
Formation energy from the elements, eV per atom: 0.050



[10]
Computed, not measured: a relaxed Dy5In2Ir2Au crystal at the PBE level of DFT.

```
data_Dy5In2Ir2Au
_chemical_formula_sum 'Dy10 In4 Ir4 Au2'
_symmetry_space_group_name_H-M 'P 4/m b m'
_symmetry_Int_Tables_number 127
_symmetry_space_group_name_Hall '-P 4 2ab'
_cell_length_a 11.717
_cell_length_b 11.717
_cell_length_c 3.659
_cell_angle_alpha 90.00
_cell_angle_beta 90.00
_cell_angle_gamma 90.00
loop_
_atom_site_label
_atom_site_type_symbol
_atom_site_fract_x
_atom_site_fract_y
_atom_site_fract_z
Dy1 Dy 0.000 0.500 0.000
Dy2 Dy 0.075 0.201 0.000
In1 In 0.174 0.674 0.500
Ir1 Ir 0.135 0.365 0.500
Au1 Au 0.000 0.000 0.500
```

Computed properties:
Formation energy from the elements, eV per atom: -0.677



[11]
Computed, not measured: a relaxed PdRu2Pt2 crystal at the PBE level of DFT.

```
data_PdRu2Pt2
_chemical_formula_sum 'Pd2 Ru4 Pt4'
_symmetry_space_group_name_H-M 'P 4/m b m'
_symmetry_Int_Tables_number 127
_symmetry_space_group_name_Hall '-P 4 2ab'
_cell_length_a 7.564
_cell_length_b 7.564
_cell_length_c 2.776
_cell_angle_alpha 90.00
_cell_angle_beta 90.00
_cell_angle_gamma 90.00
loop_
_atom_site_label
_atom_site_type_symbol
_atom_site_fract_x
_atom_site_fract_y
_atom_site_fract_z
Pd1 Pd 0.000 0.000 0.000
Ru1 Ru 0.173 0.327 0.500
Pt1 Pt 0.125 0.625 0.000
```

Computed properties:
Formation energy from the elements, eV per atom: 0.331



[12]
Computed, not measured: a relaxed Cs2In3AgF12 crystal at the PBE level of DFT.

```
data_Cs2In3AgF12
_chemical_formula_sum 'Cs6 In9 Ag3 F36'
_symmetry_space_group_name_H-M 'R -3 m'
_symmetry_Int_Tables_number 166
_symmetry_space_group_name_Hall '-R 3 2"'
_cell_length_a 8.1166
_cell_length_b 8.1166
_cell_length_c 18.8423
_cell_angle_alpha 90.00
_cell_angle_beta 90.00
_cell_angle_gamma 120.00
loop_
_atom_site_label
_atom_site_type_symbol
_atom_site_fract_x
_atom_site_fract_y
_atom_site_fract_z
Cs1 Cs 0.0000 0.0000 0.1245
In1 In 0.0000 0.5000 0.0000
Ag1 Ag 0.0000 0.0000 0.5000
F1 F 0.0061 0.5030 0.1088
F2 F 0.0731 0.5366 0.3360
```

Computed properties:
Raw formation energy, eV per atom: -2.455



[13]
Computed, not measured: a relaxed ZrCrTcW crystal at the PBE level of DFT.

```
data_ZrCrTcW
_chemical_formula_sum 'Zr4 Cr4 Tc4 W4'
_symmetry_space_group_name_H-M 'F -4 3 m'
_symmetry_Int_Tables_number 216
_symmetry_space_group_name_Hall 'F -4 2 3'
_cell_length_a 6.326
_cell_length_b 6.326
_cell_length_c 6.326
_cell_angle_alpha 90.00
_cell_angle_beta 90.00
_cell_angle_gamma 90.00
loop_
_atom_site_label
_atom_site_type_symbol
_atom_site_fract_x
_atom_site_fract_y
_atom_site_fract_z
Zr1 Zr 0.000 0.000 0.000
Cr1 Cr 0.250 0.250 0.750
Tc1 Tc 0.250 0.250 0.250
W1 W 0.000 0.000 0.500
```

Computed properties:
Formation energy from the elements, eV per atom: -0.062



[14]
Computed, not measured: a relaxed Th4TcBi2 crystal at the PBE level of DFT.

```
data_Th4TcBi2
_chemical_formula_sum 'Th8 Tc2 Bi4'
_symmetry_space_group_name_H-M 'P 1 21/m 1'
_symmetry_Int_Tables_number 11
_symmetry_space_group_name_Hall '-P 2yb'
_cell_length_a 6.451
_cell_length_b 6.761
_cell_length_c 9.938
_cell_angle_alpha 90.00
_cell_angle_beta 102.29
_cell_angle_gamma 90.00
loop_
_atom_site_label
_atom_site_type_symbol
_atom_site_fract_x
_atom_site_fract_y
_atom_site_fract_z
Th1 Th 0.183 0.250 0.100
Th2 Th 0.253 0.510 0.742
Th3 Th 0.292 0.750 0.410
Tc1 Tc 0.007 0.750 0.175
Bi1 Bi 0.184 0.250 0.441
Bi2 Bi 0.362 0.750 0.048
```

Computed properties:
Formation energy from the elements, eV per atom: -0.294



[15]
Computed, not measured: a relaxed Ba2UGaO6 crystal at the PBE level of DFT.

```
data_Ba2UGaO6
_chemical_formula_sum 'Ba8 U4 Ga4 O24'
_symmetry_space_group_name_H-M 'F m -3 m'
_symmetry_Int_Tables_number 225
_symmetry_space_group_name_Hall '-F 4 2 3'
_cell_length_a 8.414
_cell_length_b 8.414
_cell_length_c 8.414
_cell_angle_alpha 90.00
_cell_angle_beta 90.00
_cell_angle_gamma 90.00
loop_
_atom_site_label
_atom_site_type_symbol
_atom_site_fract_x
_atom_site_fract_y
_atom_site_fract_z
Ba1 Ba 0.250 0.250 0.250
U1 U 0.000 0.000 0.000
Ga1 Ga 0.000 0.000 0.500
O1 O 0.000 0.000 0.256
```

Computed properties:
Raw formation energy, eV per atom: -2.808



[16]
Computed, not measured: a relaxed AcLa4Os2 crystal at the PBE level of DFT.

```
data_AcLa4Os2
_chemical_formula_sum 'Ac2 La8 Os4'
_symmetry_space_group_name_H-M 'P 1 21/m 1'
_symmetry_Int_Tables_number 11
_symmetry_space_group_name_Hall '-P 2yb'
_cell_length_a 8.024
_cell_length_b 6.897
_cell_length_c 8.225
_cell_angle_alpha 90.00
_cell_angle_beta 111.70
_cell_angle_gamma 90.00
loop_
_atom_site_label
_atom_site_type_symbol
_atom_site_fract_x
_atom_site_fract_y
_atom_site_fract_z
Ac1 Ac 0.014 0.250 0.156
La1 La 0.247 0.002 0.585
La2 La 0.319 0.750 0.257
La3 La 0.380 0.250 0.027
Os1 Os 0.015 0.250 0.739
Os2 Os 0.412 0.250 0.364
```

Computed properties:
Formation energy from the elements, eV per atom: -0.050